Entry 1:
The following is a DFT calculation (PBE) of a geometry-optimized LiSi2Ir structure.

The calculation puts the calculated density at 7.2 g/cm³. Its volume is 14.65 Å³/atom. For the uncorrected energy, the calculation gives -5.50 eV/atom. For the uncorrected formation energy, the calculation gives -0.09 eV per atom. Its density of states at the Fermi level is 0.104 states/eV per atom. As for the crystal system: orthorhombic. As for the energy above the most stable polymorph in this dataset: 1.57 eV/f.u.

It has space group Cmmm (No. 65), with a = 2.864 Å, b = 4.846 Å, c = 8.446 Å, α = 90.00°, β = 90.00° and γ = 90.00°. The asymmetric unit holds Li at (0.000, 0.000, 0.000), Si at (0.000, 0.500, 0.261) and Ir at (0.000, 0.000, 0.500).


Entry 2:
The following is a DFT calculation (PBE) of a geometry-optimized LiSi2Ir structure.

The calculation puts the calculated density at 8.0 g/cm³. Its volume is 13.17 Å³/atom. For the uncorrected energy, the calculation gives -5.56 eV/atom. For the uncorrected formation energy, the calculation gives -0.15 eV per atom. Its density of states at the Fermi level is 0.269 states/eV per atom. As for the crystal system: orthorhombic. As for the energy above the most stable polymorph in this dataset: 1.33 eV/f.u.

It has space group Pmmm (No. 47), with a = 2.993 Å, b = 4.012 Å, c = 4.388 Å, α = 90.00°, β = 90.00° and γ = 90.00°. The asymmetric unit holds Li at (0.000, 0.000, 0.000), Si at (0.000, 0.500, 0.500), Si at (0.500, 0.500, 0.000) and Ir at (0.500, 0.000, 0.500).


Entry 3:
The following is a DFT calculation (PBE) of a geometry-optimized LiSi2Ir structure.

The calculation puts the calculated density at 7.8 g/cm³. Its volume is 13.50 Å³/atom. For the uncorrected energy, the calculation gives -5.79 eV/atom. For the uncorrected formation energy, the calculation gives -0.38 eV per atom. Its density of states at the Fermi level is 0.248 states/eV per atom. As for the crystal system: monoclinic. As for the energy above the most stable polymorph in this dataset: 0.42 eV/f.u.

It has space group C2/m (No. 12), with a = 8.005 Å, b = 2.861 Å, c = 4.765 Å, α = 90.00°, β = 98.10° and γ = 90.00°. The asymmetric unit holds Li at (0.000, 0.000, 0.000), Si at (0.240, 0.000, 0.736) and Ir at (0.000, 0.500, 0.500).